Compound: MoN
Source: Alexandria
Functional: PBE-GGA
Structure: optimized geometry

total energy	-9.880	eV per atom
spin magnetization	0.00	μB per cell
formation energy from raw total energies	-0.301	eV per atom

Unit cell a=8.274 b=8.274 c=3.161 alpha=90.00 beta=90.00 gamma=90.00
Atoms (fractional coordinates):
Mo 0.126 0.317 0.000
Mo 0.183 0.626 0.500
Mo 0.317 0.874 0.000
Mo 0.374 0.183 0.500
Mo 0.626 0.817 0.500
Mo 0.683 0.126 0.000
Mo 0.817 0.374 0.500
Mo 0.874 0.683 0.000
N 0.099 0.763 0.000
N 0.237 0.099 0.000
N 0.263 0.401 0.500
N 0.401 0.737 0.500
N 0.599 0.263 0.500
N 0.737 0.599 0.500
N 0.763 0.901 0.000
N 0.901 0.237 0.000